This record from the Alexandria database describes crystalline ReAsSe2N at its relaxed geometry. The functional is PBE.

abc: 4.3031 4.1419 4.3031
angles: 90.00 90.00 90.00
Closest atoms and distances in Å follow each position.
Positions (direct):
Re  0.5000  0.5000  0.5000  8 Se 2.99, 4 As 3.04
As  0.0000  0.5000  0.0000  2 N 2.07
Se  0.0000  0.0000  0.5000  2 N 2.15
Se  0.5000  0.0000  0.0000  2 N 2.15
N  0.0000  0.0000  0.0000  2 As 2.07, 4 Se 2.15

volume: 77 Å³ per cell
electronic total energy: -5.2175 eV per atom
formation energy from raw total energies: 1.261 eV/atom
magnetization: 0.00 μB per atom

=====

This record from the Alexandria database describes crystalline ReSn2AsN at its relaxed geometry. The functional is PBE.

abc: 5.2142 4.6924 5.2142
angles: 90.00 90.00 90.00
Closest atoms and distances in Å follow each position.
Positions (direct):
Re  0.0000  0.0000  0.0000  2 As 2.35, 4 Sn 2.61
As  0.0000  0.5000  0.0000  2 Re 2.35
Sn  0.0000  0.0000  0.5000  2 Re 2.61
Sn  0.5000  0.0000  0.0000  2 Re 2.61
N  0.5000  0.5000  0.5000  8 Sn 3.51, 4 As 3.69

volume: 128 Å³ per cell
electronic total energy: -5.5074 eV per atom
formation energy from raw total energies: 1.178 eV/atom
magnetization: 0.31 μB per atom

=====

This record from the Alexandria database describes crystalline SrReAsN2 at its relaxed geometry. The functional is PBE.

abc: 4.1068 5.8357 4.1068
angles: 90.00 90.00 90.00
Closest atoms and distances in Å follow each position.
Positions (direct):
Re  0.5000  0.5000  0.5000  4 As 2.90
As  0.0000  0.5000  0.0000  4 Re 2.90, 2 Sr 2.92
N  0.0000  0.0000  0.5000  2 Sr 2.05
N  0.5000  0.0000  0.0000  2 Sr 2.05
Sr  0.0000  0.0000  0.0000  4 N 2.05

volume: 98 Å³ per cell
electronic total energy: -4.3003 eV per atom
formation energy from raw total energies: 2.786 eV/atom
magnetization: 0.00 μB per atom

=====

This record from the Alexandria database describes crystalline ReTe2AsN at its relaxed geometry. The functional is PBE.

abc: 5.4448 5.4448 3.5225
angles: 90.00 90.00 90.00
Closest atoms and distances in Å follow each position.
Positions (direct):
Re  0.5000  0.5000  0.5000  8 Te 3.24, 2 Re 3.52
As  0.0000  0.0000  0.0000  2 N 1.76
Te  0.0000  0.5000  0.0000  2 As 2.72
Te  0.5000  0.0000  0.0000  2 As 2.72
N  0.0000  0.0000  0.5000  2 As 1.76

volume: 104 Å³ per cell
electronic total energy: -4.8414 eV per atom
formation energy from raw total energies: 1.500 eV/atom
magnetization: 0.40 μB per atom